1.
Tm3CdC | GGA-PBE | relaxed

Cell: 4.849 4.849 4.849 Å, 90.00 90.00 90.00°
Element x y z (fractional)
Tm  0.000  0.000  0.500
Tm  0.000  0.500  0.000
Tm  0.500  0.000  0.000
Cd  0.500  0.500  0.500
C  0.000  0.000  0.000

Properties
Its space group is Pm-3m, No. 221. The energy relative to the elements comes out at -0.3528 eV per atom. Its crystal system is cubic.

2.
Ba3RhPb | GGA-PBE | relaxed

Cell: 5.898 8.140 8.499 Å, 82.39 89.99 89.93°
Element x y z (fractional)
Ba  0.000  0.000  0.000
Ba  0.000  0.342  0.585
Ba  0.499  0.137  0.266
Ba  0.499  0.595  0.798
Ba  0.998  0.546  0.136
Ba  0.998  0.871  0.526
Rh  0.500  0.817  0.052
Rh  0.999  0.192  0.291
Pb  0.498  0.647  0.362
Pb  0.500  0.062  0.767

Properties
Its space group is P1, No. 1. The energy relative to the elements comes out at -0.2966 eV per atom. Its crystal system is triclinic. The energy above the most stable polymorph in this dataset is 0.00 eV per formula unit.

3.
La2Dy3Cd3 | GGA-PBE | relaxed

Cell: 11.852 11.852 11.852 Å, 161.41 153.97 32.18°
Element x y z (fractional)
La  0.230  0.230  0.000
La  0.770  0.770  0.000
Dy  0.000  0.000  0.000
Dy  0.382  0.882  0.500
Dy  0.618  0.118  0.500
Cd  0.111  0.611  0.500
Cd  0.500  0.500  0.000
Cd  0.889  0.389  0.500

Properties
Its space group is Immm, No. 71. The energy relative to the elements comes out at -0.2137 eV per atom. Its crystal system is orthorhombic.

4.
Tb2YGa6 | GGA-PBE | relaxed

Cell: 7.298 7.298 4.139 Å, 90.00 90.00 120.00°
Element x y z (fractional)
Tb  0.333  0.667  0.000
Tb  0.667  0.333  0.000
Y  0.000  0.000  0.000
Ga  0.000  0.333  0.500
Ga  0.000  0.667  0.500
Ga  0.333  0.000  0.500
Ga  0.333  0.333  0.500
Ga  0.667  0.000  0.500
Ga  0.667  0.667  0.500

Properties
Its space group is P6/mmm, No. 191. The energy relative to the elements comes out at -0.6527 eV per atom. Its crystal system is hexagonal. The energy above the most stable polymorph in this dataset is 0.00 eV per formula unit.

5.
Be2TlCl | GGA-PBE | relaxed

Cell: 3.583 3.583 7.515 Å, 90.00 90.00 128.13°
Element x y z (fractional)
Be  0.000  0.000  0.234
Be  0.000  0.000  0.766
Tl  0.500  0.500  0.500
Cl  0.500  0.500  0.000

Properties
Its space group is Cmmm, No. 65. Its crystal system is orthorhombic. The energy above the most stable polymorph in this dataset is 1.51 eV per formula unit.

6.
Rb3SnSe3 | GGA-PBE | relaxed

Cell: 8.747 8.747 9.124 Å, 105.61 105.61 112.74°
Element x y z (fractional)
Rb  0.187  0.813  0.000
Rb  0.188  0.812  0.500
Rb  0.299  0.299  0.469
Rb  0.701  0.701  0.531
Rb  0.812  0.188  0.500
Rb  0.813  0.187  0.000
Sn  0.374  0.374  0.042
Sn  0.626  0.626  0.958
Se  0.105  0.105  0.771
Se  0.268  0.551  0.225
Se  0.449  0.732  0.775
Se  0.551  0.268  0.225
Se  0.732  0.449  0.775
Se  0.895  0.895  0.229

Properties
Its space group is C2/m, No. 12. Its crystal system is monoclinic. The energy above the most stable polymorph in this dataset is 0.00 eV per formula unit.

7.
CaPdS2F | GGA-PBE | relaxed

Cell: 4.496 4.496 5.898 Å, 90.00 90.00 90.00°
Element x y z (fractional)
Ca  0.000  0.000  0.000
Pd  0.000  0.000  0.500
S  0.000  0.500  0.500
S  0.500  0.000  0.500
F  0.500  0.500  0.000

Properties
Its space group is P4/mmm, No. 123. Its crystal system is tetragonal. The electronic total energy comes out at -4.18 eV per atom.

8.
Nd6ZnPd | GGA-PBE | relaxed

Cell: 9.582 9.582 9.582 Å, 148.52 148.52 45.12°
Element x y z (fractional)
Nd  0.101  0.601  0.500
Nd  0.247  0.247  0.000
Nd  0.399  0.899  0.500
Nd  0.601  0.101  0.500
Nd  0.753  0.753  0.000
Nd  0.899  0.399  0.500
Zn  0.000  0.000  0.000
Pd  0.500  0.500  0.000

Properties
Its space group is I4/mmm, No. 139. The energy relative to the elements comes out at -0.2262 eV per atom. Its crystal system is tetragonal.